1.
ZnNiAg2: relaxed, GGA-PBE.

Summary:
Energy of formation, eV per atom: -0.005

a b c (Å): 2.883 2.883 7.287
angles (deg): 90.00 90.00 90.00
Space group P4mm (No. 99)
Unique sites:
Zn  0.000  0.000  0.000 (multiplicity 1)
Ni  0.500  0.500  0.807 (multiplicity 1)
Ag  0.000  0.000  0.559 (multiplicity 1)
Ag  0.500  0.500  0.265 (multiplicity 1)

***

2.
Cu2PI: relaxed, GGA-PBE.

Summary:
Energy above the lowest structure with this stoichiometry, meV per atom: 0
E_form (uncorrected), eV/f.u.: 0.46

a b c (Å): 5.821 5.821 10.540
angles (deg): 90.00 90.00 90.00
Space group I-42d (No. 122)
Unique sites:
Cu  0.185  0.250  0.125 (multiplicity 8)
P  0.000  0.000  0.000 (multiplicity 4)
I  0.000  0.000  0.500 (multiplicity 4)

***

3.
Na2ZrGe: relaxed, GGA-PBE.

Summary:
Energy of formation, eV per atom: 0.455

a b c (Å): 8.617 8.617 5.524
angles (deg): 90.00 90.00 90.00
Space group I-42d (No. 122)
Unique sites:
Na  0.206  0.250  0.125 (multiplicity 8)
Zr  0.000  0.000  0.500 (multiplicity 4)
Ge  0.000  0.000  0.000 (multiplicity 4)

***

4.
Ba2HfMnTe5: relaxed, GGA-PBE.

Summary:
E_form (uncorrected), eV/f.u.: -9.23

a b c (Å): 4.619 13.223 10.233
angles (deg): 90.00 103.04 90.00
Space group P2_1 (No. 4)
Unique sites:
Ba  0.111  0.000  0.223 (multiplicity 2)
Ba  0.121  0.626  0.242 (multiplicity 2)
Hf  0.200  0.318  0.400 (multiplicity 2)
Mn  0.399  0.840  0.799 (multiplicity 2)
Te  0.053  0.273  0.105 (multiplicity 2)
Te  0.292  0.965  0.584 (multiplicity 2)
Te  0.308  0.679  0.617 (multiplicity 2)
Te  0.343  0.312  0.687 (multiplicity 2)
Te  0.481  0.005  0.963 (multiplicity 2)

***

no.,VASP energy (eV per atom)
1,-3.194
2,-3.673
3,-3.496
4,-5.323